The following is a DFT calculation (GGA-PBE) of a geometry-optimized KCaRh2 structure.

## Properties
**Calculated total energy**: -3.941 eV per atom
**Formation enthalpy at 0 K**: 0.51 eV/atom

Unit cell a=4.960 b=4.960 c=3.481 alpha=90.00 beta=90.00 gamma=90.00
Fractional coordinates of all 4 atoms:
Rh (0.000, 0.000, 0.000)
Rh (0.500, 0.500, 0.000)
Ca (0.500, 0.000, 0.500)
K (0.000, 0.500, 0.500)